# Cu2SiRh

A relaxed structure of Cu2SiRh (PBE, Alexandria).

Fermi-level density of states ... 4.18 states/eV per cell
Raw total energy ... -5.1246 eV/atom
Uncorrected formation energy ... 117 meV/atom

Cell lengths 2.6846, 2.6846, 7.2521 Å; angles 90.00, 90.00, 90.00 degrees
Last column: nearest neighbours and their distance in Å.
Space group P4/mmm (No. 123)
Inequivalent atoms, fractional coordinates:
Cu 0.0000 0.0000 0.2402 x2  4 Si 2.58, 4 Rh 2.67, 4 Cu 2.68
Si 0.5000 0.5000 0.0000 x1  8 Cu 2.58, 4 Si 2.68
Rh 0.5000 0.5000 0.5000 x1  8 Cu 2.67, 4 Rh 2.68